1.
## CrTeRuI2 (PBE-GGA)

Data for crystalline CrTeRuI2 at its relaxed geometry.

The calculation puts the total magnetization at 0.1 μB per cell.

The structure belongs to space group P4/mmm (No. 123); the cell edges are 5.337, 5.337 and 4.937 Å and the angles 90.00°, 90.00° and 90.00°. The distinct sites, in fractional coordinates, are Cr at (0.000, 0.000, 0.000), Te at (0.000, 0.000, 0.500), Ru at (0.500, 0.500, 0.500) and I at (0.000, 0.500, 0.000).

***

2.
## CrTeRuI2 (PBE-GGA)

Data for crystalline CrTeRuI2 at its relaxed geometry.

The calculation puts the total magnetization at 4.8 μB per cell.

The structure belongs to space group P4/mmm (No. 123); the cell edges are 5.610, 5.610 and 4.988 Å and the angles 90.00°, 90.00° and 90.00°. The distinct sites, in fractional coordinates, are Cr at (0.000, 0.000, 0.000), Te at (0.500, 0.500, 0.000), Ru at (0.500, 0.500, 0.500) and I at (0.000, 0.500, 0.500).

***

Result of the stability comparison: 1 is the least stable of them.

***

1.
## Cr2SI (PBE-GGA)

Data for crystalline Cr2SI at its relaxed geometry.

The calculation puts the total magnetization at 6.2 μB per cell.

The structure belongs to space group Fm-3m (No. 225); the cell edges are 6.150, 6.150 and 6.150 Å and the angles 90.00°, 90.00° and 90.00°. The distinct sites, in fractional coordinates, are Cr at (0.250, 0.250, 0.250), S at (0.000, 0.000, 0.000) and I at (0.000, 0.000, 0.500).

***

2.
## Cr2SI (PBE-GGA)

Data for crystalline Cr2SI at its relaxed geometry.

The calculation puts the total magnetization at 36.0 μB per cell.

The structure belongs to space group I-42d (No. 122); the cell edges are 6.043, 6.043 and 11.969 Å and the angles 90.00°, 90.00° and 90.00°. The distinct sites, in fractional coordinates, are Cr at (0.175, 0.250, 0.125), S at (0.000, 0.000, 0.000) and I at (0.000, 0.000, 0.500).

***

Result of the stability comparison: 1 is the least stable of them.

***

1.
## CrSI3 (PBE-GGA)

Data for crystalline CrSI3 at its relaxed geometry.

The calculation puts the total magnetization at 4.8 μB per cell.

The structure belongs to space group Pm-3m (No. 221); the cell edges are 5.556, 5.556 and 5.556 Å and the angles 90.00°, 90.00° and 90.00°. The distinct sites, in fractional coordinates, are Cr at (0.000, 0.000, 0.000), S at (0.500, 0.500, 0.500) and I at (0.000, 0.500, 0.500).

***

2.
## CrSI3 (PBE-GGA)

Data for crystalline CrSI3 at its relaxed geometry.

The calculation puts the total magnetization at 0.9 μB per cell.

The structure belongs to space group Pm-3m (No. 221); the cell edges are 5.258, 5.258 and 5.258 Å and the angles 90.00°, 90.00° and 90.00°. The distinct sites, in fractional coordinates, are Cr at (0.000, 0.000, 0.000), S at (0.500, 0.500, 0.500) and I at (0.000, 0.000, 0.500).

***

Result of the stability comparison: 2 is the least stable of them.